[1]
Computed, not measured: an optimized crystal structure of LiPaSO6 at the PBE-GGA level of DFT.

uncorrected formation energy: -2.013 eV/atom
symmetry: No. 149
DOS(E_F): 0.0 states/eV/cell

a b c (Å): 4.867 4.867 4.604
angles (deg): 90.00 90.00 60.00
Element x y z (fractional)
Li (0.667, 0.667, 0.500)
Pa (0.000, 0.000, 0.000)
S (0.333, 0.333, 0.500)
O (0.050, 0.335, 0.288)
O (0.335, 0.050, 0.712)
O (0.615, 0.335, 0.712)
O (0.050, 0.615, 0.712)
O (0.335, 0.615, 0.288)
O (0.615, 0.050, 0.288)

---

[2]
Computed, not measured: an optimized crystal structure of SiTeP at the PBE-GGA level of DFT.

uncorrected formation energy: 0.915 eV/atom
symmetry: No. 216
DOS(E_F): 1.8 states/eV/cell

a b c (Å): 4.680 4.680 4.680
angles (deg): 60.00 60.00 60.00
Element x y z (fractional)
P (0.000, 0.000, 0.000)
Si (0.500, 0.500, 0.500)
Te (0.250, 0.250, 0.250)

---

[3]
Computed, not measured: an optimized crystal structure of Th2CdAg at the PBE-GGA level of DFT.

symmetry: No. 166
DOS(E_F): 3.6 states/eV/cell
calculated total energy: -4.40 eV/atom

a b c (Å): 3.363 3.363 12.068
angles (deg): 81.99 81.99 60.00
Element x y z (fractional)
Ag (0.500, 0.500, 0.500)
Th (0.094, 0.094, 0.719)
Th (0.906, 0.906, 0.281)
Cd (0.000, 0.000, 0.000)

---

[4]
Computed, not measured: an optimized crystal structure of RbTl2Te4As at the PBE-GGA level of DFT.

uncorrected formation energy: -0.186 eV/atom
symmetry: No. 15
DOS(E_F): 2.8 states/eV/cell

a b c (Å): 9.236 9.236 9.176
angles (deg): 119.84 119.84 90.28
Element x y z (fractional)
Rb (0.000, 0.500, 0.000)
Rb (0.000, 0.500, 0.500)
Tl (0.500, 0.000, 0.000)
Tl (0.500, 0.000, 0.500)
Tl (0.000, 0.000, 0.500)
Tl (0.500, 0.500, 0.000)
Te (0.260, 0.796, 0.029)
Te (0.704, 0.240, 0.471)
Te (0.296, 0.760, 0.529)
Te (0.740, 0.204, 0.971)
Te (0.739, 0.762, 0.967)
Te (0.738, 0.761, 0.533)
Te (0.262, 0.239, 0.467)
Te (0.261, 0.238, 0.033)
As (0.500, 0.500, 0.500)
As (0.000, 0.000, 0.000)

---

[5]
Computed, not measured: an optimized crystal structure of Li3Al4Cu at the PBE-GGA level of DFT.

symmetry: No. 12
DOS(E_F): 1.8 states/eV/cell
calculated total energy: -3.25 eV/atom

a b c (Å): 3.927 3.927 8.432
angles (deg): 103.27 103.27 90.17
Element x y z (fractional)
Al (0.386, 0.386, 0.771)
Al (0.614, 0.614, 0.229)
Al (0.114, 0.114, 0.229)
Al (0.886, 0.886, 0.771)
Cu (0.500, 0.000, 0.000)
Li (0.000, 0.500, 0.000)
Li (0.754, 0.254, 0.506)
Li (0.246, 0.746, 0.494)

---

[6]
Computed, not measured: an optimized crystal structure of AlCoPt6 at the PBE-GGA level of DFT.

symmetry: No. 123
DOS(E_F): 9.7 states/eV/cell
calculated total energy: -6.25 eV/atom

a b c (Å): 3.906 3.906 7.818
angles (deg): 90.00 90.00 90.00
Element x y z (fractional)
Al (0.000, 0.000, 0.000)
Co (0.000, 0.000, 0.500)
Pt (0.500, 0.500, 0.000)
Pt (0.500, 0.500, 0.500)
Pt (0.500, 0.000, 0.252)
Pt (0.500, 0.000, 0.748)
Pt (0.000, 0.500, 0.252)
Pt (0.000, 0.500, 0.748)

---

[7]
Computed, not measured: an optimized crystal structure of Pr2Y2Bi2C at the PBE-GGA level of DFT.

symmetry: No. 139
DOS(E_F): 7.0 states/eV/cell
calculated total energy: -6.35 eV/atom

a b c (Å): 4.870 4.870 9.041
angles (deg): 105.62 105.62 90.00
Element x y z (fractional)
Pr (0.160, 0.160, 0.320)
Pr (0.840, 0.840, 0.680)
Y (0.000, 0.500, 0.000)
Y (0.500, 0.000, 0.000)
Bi (0.362, 0.362, 0.723)
Bi (0.638, 0.638, 0.277)
C (0.000, 0.000, 0.000)

---

[8]
Computed, not measured: an optimized crystal structure of Nd3Er12Al at the PBE-GGA level of DFT.

symmetry: No. 123
DOS(E_F): 20.6 states/eV/cell
calculated total energy: -4.56 eV/atom

a b c (Å): 4.931 4.931 19.953
angles (deg): 90.00 90.00 90.00
Element x y z (fractional)
Nd (0.000, 0.000, 0.246)
Nd (0.000, 0.000, 0.500)
Nd (0.000, 0.000, 0.754)
Er (0.500, 0.500, 0.000)
Er (0.500, 0.500, 0.241)
Er (0.500, 0.500, 0.500)
Er (0.500, 0.500, 0.759)
Er (0.500, 0.000, 0.116)
Er (0.500, 0.000, 0.372)
Er (0.500, 0.000, 0.628)
Er (0.500, 0.000, 0.884)
Er (0.000, 0.500, 0.116)
Er (0.000, 0.500, 0.372)
Er (0.000, 0.500, 0.628)
Er (0.000, 0.500, 0.884)
Al (0.000, 0.000, 0.000)

---

[9]
Computed, not measured: an optimized crystal structure of LiTb3Al at the PBE-GGA level of DFT.

symmetry: No. 63
DOS(E_F): 10.4 states/eV/cell
calculated total energy: -4.05 eV/atom

a b c (Å): 5.110 5.107 10.323
angles (deg): 90.00 75.67 90.00
Element x y z (fractional)
Li (0.483, 0.750, 0.683)
Li (0.166, 0.250, 0.317)
Tb (0.760, 0.250, 0.129)
Tb (0.388, 0.250, 0.873)
Tb (0.574, 0.250, 0.500)
Tb (0.261, 0.750, 0.127)
Tb (0.889, 0.750, 0.871)
Tb (0.074, 0.750, 0.500)
Al (0.665, 0.750, 0.318)
Al (0.983, 0.250, 0.682)

---

[10]
Computed, not measured: an optimized crystal structure of Ce3TcSn at the PBE-GGA level of DFT.

symmetry: No. 221
DOS(E_F): 15.4 states/eV/cell
calculated total energy: -6.66 eV/atom

a b c (Å): 5.271 5.271 5.271
angles (deg): 90.00 90.00 90.00
Element x y z (fractional)
Sn (0.500, 0.500, 0.500)
Ce (0.000, 0.500, 0.000)
Ce (0.000, 0.000, 0.500)
Ce (0.500, 0.000, 0.000)
Tc (0.000, 0.000, 0.000)

---

[11]
Computed, not measured: an optimized crystal structure of Th2ScSb3 at the PBE-GGA level of DFT.

uncorrected formation energy: -0.897 eV/atom
symmetry: No. 12
DOS(E_F): 7.8 states/eV/cell

a b c (Å): 7.639 7.639 7.606
angles (deg): 99.72 99.72 119.91
Element x y z (fractional)
Th (0.833, 0.167, 0.500)
Th (0.333, 0.667, 0.000)
Th (0.174, 0.826, 0.500)
Th (0.493, 0.507, 0.500)
Sc (0.003, 0.997, 0.000)
Sc (0.664, 0.336, 0.000)
Sb (0.607, 0.941, 0.774)
Sb (0.059, 0.393, 0.226)
Sb (0.907, 0.587, 0.763)
Sb (0.254, 0.240, 0.763)
Sb (0.413, 0.093, 0.237)
Sb (0.760, 0.746, 0.237)

---

[12]
Computed, not measured: an optimized crystal structure of SnBRh3 at the PBE-GGA level of DFT.

symmetry: No. 14
DOS(E_F): 14.7 states/eV/cell
calculated total energy: -6.82 eV/atom

a b c (Å): 18.115 5.237 7.848
angles (deg): 90.00 156.98 90.00
Element x y z (fractional)
B (0.121, 0.409, 0.613)
B (0.879, 0.591, 0.387)
B (0.379, 0.909, 0.887)
B (0.621, 0.091, 0.113)
Rh (0.272, 0.079, 0.880)
Rh (0.728, 0.921, 0.120)
Rh (0.228, 0.579, 0.620)
Rh (0.772, 0.421, 0.380)
Rh (0.406, 0.251, 0.503)
Rh (0.594, 0.749, 0.497)
Rh (0.094, 0.751, 0.997)
Rh (0.906, 0.249, 0.003)
Rh (0.490, 0.750, 0.902)
Rh (0.510, 0.250, 0.098)
Rh (0.010, 0.250, 0.598)
Rh (0.990, 0.750, 0.402)
Sn (0.365, 0.732, 0.310)
Sn (0.635, 0.268, 0.690)
Sn (0.135, 0.232, 0.190)
Sn (0.865, 0.768, 0.810)

---

[13]
Computed, not measured: an optimized crystal structure of Y3HPb at the PBE-GGA level of DFT.

symmetry: No. 119
DOS(E_F): 11.5 states/eV/cell
calculated total energy: -4.64 eV/atom

a b c (Å): 5.828 5.828 11.764
angles (deg): 75.66 75.66 90.00
Element x y z (fractional)
Pb (0.000, 0.000, 0.000)
Pb (0.250, 0.750, 0.500)
Y (0.123, 0.875, 0.249)
Y (0.125, 0.877, 0.751)
Y (0.125, 0.372, 0.751)
Y (0.628, 0.875, 0.249)
Y (0.291, 0.291, 0.417)
Y (0.709, 0.709, 0.583)
H (0.673, 0.173, 0.654)
H (0.827, 0.327, 0.346)

---

[14]
Computed, not measured: an optimized crystal structure of Nd3Ho4Er at the PBE-GGA level of DFT.

symmetry: No. 71
DOS(E_F): 11.9 states/eV/cell
calculated total energy: -4.52 eV/atom

a b c (Å): 3.483 8.905 8.905
angles (deg): 81.90 78.72 78.72
Element x y z (fractional)
Nd (0.757, 0.243, 0.243)
Nd (0.243, 0.757, 0.757)
Nd (0.000, 0.500, 0.500)
Ho (0.635, 0.110, 0.620)
Ho (0.365, 0.890, 0.380)
Ho (0.365, 0.380, 0.890)
Ho (0.635, 0.620, 0.110)
Er (0.500, 0.000, 0.000)

---

[15]
Computed, not measured: an optimized crystal structure of Pm2SmHoSe5 at the PBE-GGA level of DFT.

uncorrected formation energy: -1.257 eV/atom
symmetry: No. 123
DOS(E_F): 5.7 states/eV/cell

a b c (Å): 5.125 5.125 10.896
angles (deg): 90.00 90.00 90.00
Element x y z (fractional)
Pm (0.500, 0.500, 0.332)
Pm (0.500, 0.500, 0.668)
Sm (0.000, 0.000, 0.000)
Ho (0.000, 0.000, 0.500)
Se (0.000, 0.500, 0.500)
Se (0.500, 0.000, 0.500)
Se (0.000, 0.000, 0.751)
Se (0.000, 0.000, 0.249)
Se (0.500, 0.500, 0.000)

---

[16]
Computed, not measured: an optimized crystal structure of YAs3Pt at the PBE-GGA level of DFT.

symmetry: No. 221
DOS(E_F): 3.4 states/eV/cell
calculated total energy: -4.32 eV/atom

a b c (Å): 5.314 5.314 5.314
angles (deg): 90.00 90.00 90.00
Element x y z (fractional)
Y (0.000, 0.000, 0.000)
As (0.000, 0.500, 0.000)
As (0.000, 0.000, 0.500)
As (0.500, 0.000, 0.000)
Pt (0.500, 0.500, 0.500)

---

[17]
Computed, not measured: an optimized crystal structure of MgTlGa2Ni at the PBE-GGA level of DFT.

symmetry: No. 123
DOS(E_F): 2.0 states/eV/cell
calculated total energy: -3.27 eV/atom

a b c (Å): 4.624 4.624 4.959
angles (deg): 90.00 90.00 90.00
Element x y z (fractional)
Ni (0.000, 0.000, 0.000)
Tl (0.500, 0.500, 0.500)
Mg (0.000, 0.000, 0.500)
Ga (0.000, 0.500, 0.000)
Ga (0.500, 0.000, 0.000)

---

[18]
Computed, not measured: an optimized crystal structure of Zn2InFe at the PBE-GGA level of DFT.

symmetry: No. 8
DOS(E_F): 1.2 states/eV/cell
calculated total energy: -3.26 eV/atom

a b c (Å): 5.256 5.256 4.972
angles (deg): 63.17 63.17 31.95
Element x y z (fractional)
Fe (0.490, 0.490, 0.407)
In (0.234, 0.234, 0.340)
Zn (0.007, 0.007, 0.941)
Zn (0.769, 0.769, 0.812)

---

[19]
Computed, not measured: an optimized crystal structure of Tl2GaW at the PBE-GGA level of DFT.

symmetry: No. 141
DOS(E_F): 5.4 states/eV/cell
calculated total energy: -4.30 eV/atom

a b c (Å): 10.605 10.605 7.910
angles (deg): 47.90 47.90 90.00
Element x y z (fractional)
Tl (0.875, 0.125, 0.250)
Tl (0.875, 0.625, 0.250)
Tl (0.375, 0.125, 0.750)
Tl (0.875, 0.125, 0.750)
Ga (0.500, 0.500, 0.000)
Ga (0.250, 0.750, 0.500)
W (0.000, 0.000, 0.000)
W (0.750, 0.250, 0.500)

---

[20]
Computed, not measured: an optimized crystal structure of K2CuRh at the PBE-GGA level of DFT.

symmetry: No. 122
DOS(E_F): 8.8 states/eV/cell
calculated total energy: -2.58 eV/atom

a b c (Å): 8.793 8.793 6.815
angles (deg): 49.83 49.83 90.00
Element x y z (fractional)
K (0.625, 0.125, 0.250)
K (0.125, 0.625, 0.250)
K (0.375, 0.375, 0.750)
K (0.875, 0.875, 0.750)
Rh (0.000, 0.000, 0.000)
Rh (0.750, 0.250, 0.500)
Cu (0.500, 0.500, 0.000)
Cu (0.250, 0.750, 0.500)

---

[21]
Computed, not measured: an optimized crystal structure of EuSb5 at the PBE-GGA level of DFT.

uncorrected formation energy: -0.222 eV/atom
symmetry: No. 65
DOS(E_F): 3.0 states/eV/cell

a b c (Å): 4.547 4.526 8.578
angles (deg): 105.30 90.00 90.00
Element x y z (fractional)
Eu (0.000, 0.000, 0.000)
Sb (0.500, 0.843, 0.686)
Sb (0.000, 0.657, 0.314)
Sb (0.500, 0.500, 0.000)
Sb (0.000, 0.343, 0.686)
Sb (0.500, 0.157, 0.314)

---

[22]
Computed, not measured: an optimized crystal structure of ReMo2Ir at the PBE-GGA level of DFT.

symmetry: No. 12
DOS(E_F): 3.4 states/eV/cell
calculated total energy: -10.75 eV/atom

a b c (Å): 4.827 4.827 4.850
angles (deg): 80.65 80.65 33.24
Element x y z (fractional)
Ir (0.250, 0.250, 0.250)
Mo (0.997, 0.997, 0.004)
Mo (0.503, 0.503, 0.496)
Re (0.750, 0.750, 0.750)

---

[23]
Computed, not measured: an optimized crystal structure of LiRu2Rh4 at the PBE-GGA level of DFT.

symmetry: No. 139
DOS(E_F): 11.8 states/eV/cell
calculated total energy: -6.28 eV/atom

a b c (Å): 4.008 4.008 7.018
angles (deg): 73.41 73.41 90.00
Element x y z (fractional)
Ru (0.643, 0.643, 0.714)
Ru (0.357, 0.357, 0.286)
Rh (0.826, 0.826, 0.348)
Rh (0.174, 0.174, 0.652)
Rh (0.000, 0.500, 0.000)
Rh (0.500, 0.000, 0.000)
Li (0.000, 0.000, 0.000)

---

[24]
Computed, not measured: an optimized crystal structure of ZrBeCl2 at the PBE-GGA level of DFT.

uncorrected formation energy: -0.802 eV/atom
symmetry: No. 160
DOS(E_F): 0.5 states/eV/cell

a b c (Å): 9.559 9.559 9.559
angles (deg): 19.56 19.56 19.56
Element x y z (fractional)
Be (0.745, 0.745, 0.745)
Zr (0.494, 0.494, 0.494)
Cl (0.036, 0.036, 0.036)
Cl (0.225, 0.225, 0.225)